Below is a geometry-optimized Dy2O3 structure, with properties calculated at the PBE level.

The structure in extended XYZ format:
```
10
Lattice="5.351 0.000 0.000 0.000 5.351 0.000 0.000 0.000 5.351" Properties=species:S:1:pos:R:3 pbc="T T T"
Dy 4.013 1.338 1.338
Dy 1.338 4.013 1.338
Dy 4.013 4.013 4.013
Dy 1.338 1.338 4.013
O 2.675 0.000 0.000
O 0.000 2.675 0.000
O 2.675 2.675 0.000
O 0.000 0.000 2.675
O 2.675 0.000 2.675
O 0.000 2.675 2.675
```

mass density: 8.1 Mg/m³
spin magnetization: 0.0 μB/f.u.
uncorrected formation energy: -3.102 eV per atom
calculated volume: 15.320 A^3/atom